# SnMoIrO2 PBE with a Hubbard U optimized geometry
data_SnMoIrO2
_symmetry_space_group_name_H-M 'P 1'
_symmetry_Int_Tables_number 1
_symmetry_space_group_name_Hall 'P 1'
_cell_length_a 3.863
_cell_length_b 3.863
_cell_length_c 6.019
_cell_angle_alpha 90.00
_cell_angle_beta 90.00
_cell_angle_gamma 90.00
loop_
_atom_site_label
_atom_site_fract_x
_atom_site_fract_y
_atom_site_fract_z
_atom_site_occupancy
Sn1 0.000 0.000 0.000 1
Mo1 0.500 0.500 0.000 1
Ir1 0.000 0.000 0.500 1
O1 0.000 0.500 0.500 1
O2 0.500 0.000 0.500 1
# Total magnetization: 3.14 μB/cell
# D(E_F): 3.28 states/eV/cell
# Calculated total energy: -5.7599 eV/atom